VASP calculation (PBE) on an optimized crystal structure of Eu2HoBr.

Cell lengths 3.8382, 3.8382, 10.9067 Å; angles 79.87, 79.87, 60.00 degrees
With the nearest neighbours (Å) after each atom.
Atoms (fractional coordinates):
1 Eu 0.7400 0.7400 0.7800  3 Br 3.23
2 Eu 0.2600 0.2600 0.2200  3 Br 3.23
3 Ho 0.5000 0.5000 0.5000  6 Eu 3.72, 6 Ho 3.84
4 Br 0.0000 0.0000 0.0000  6 Eu 3.23

Properties
Its formation energy from raw total energies is -0.64 eV per atom. For the distance to the lowest polymorph of the same formula, the calculation gives 0 meV/atom.